Density functional theory data (GGA-PBE) for a relaxed structure of Tl2Cd3Sn2.

space-group type: C2/m (12)
formation enthalpy at 0 K: 48 meV per atom
VASP energy: -2.16 eV per atom
energy above the most stable polymorph in this dataset: 0.000 eV per atom

abc: 6.7755 6.7755 7.5392
angles: 116.72 116.72 40.83
Positions (direct):
1 Tl 0.1502 0.1502 0.2877
2 Tl 0.8498 0.8498 0.7123
3 Cd 0.4056 0.4056 0.0527
4 Cd 0.5000 0.5000 0.5000
5 Cd 0.5944 0.5944 0.9473
6 Sn 0.1478 0.1478 0.7447
7 Sn 0.8522 0.8522 0.2553